Below is crystalline LiTm2Si2Ir5 at its relaxed geometry, with properties calculated at the PBE-GGA level.

a = 9.7412 Å, b = 9.7412 Å, c = 3.3613 Å
α = 90.00°, β = 90.00°, γ = 90.00°
With the nearest neighbours (Å) after each atom.
Fractional coordinates of all 20 atoms:
Li 0.0000 0.0000 0.0000  8 Ir 2.71
Li 0.5000 0.5000 0.0000  8 Ir 2.71
Tm 0.1733 0.3267 0.0000  3 Si 2.74-2.97, 6 Ir 2.92-3.06
Tm 0.3267 0.8267 0.0000  3 Si 2.74-2.97, 6 Ir 2.92-3.06
Tm 0.6733 0.1733 0.0000  3 Si 2.74-2.97, 6 Ir 2.92-3.06
Tm 0.8267 0.6733 0.0000  3 Si 2.74-2.97, 6 Ir 2.92-3.06
Si 0.1281 0.6281 0.0000  6 Ir 2.40-2.44
Si 0.3719 0.1281 0.0000  6 Ir 2.40-2.44
Si 0.6281 0.8719 0.0000  6 Ir 2.40-2.44
Si 0.8719 0.3719 0.0000  6 Ir 2.40-2.44
Ir 0.0000 0.5000 0.5000  4 Si 2.44
Ir 0.0664 0.7926 0.5000  2 Si 2.40
Ir 0.2074 0.0664 0.5000  2 Si 2.40
Ir 0.2926 0.5664 0.5000  2 Si 2.40
Ir 0.4336 0.2926 0.5000  2 Si 2.40
Ir 0.5000 0.0000 0.5000  4 Si 2.44
Ir 0.5664 0.7074 0.5000  2 Si 2.40
Ir 0.7074 0.4336 0.5000  2 Si 2.40
Ir 0.7926 0.9336 0.5000  2 Si 2.40
Ir 0.9336 0.2074 0.5000  2 Si 2.40

Calculated values
The total moment is 0.0 μB per formula unit. The density of states at the Fermi level is 0.34 states/eV/atom. The uncorrected formation energy comes out at -7.80 eV/f.u. The uncorrected energy comes out at -7.381 eV/atom. The space group is No. 127.

---

Below is crystalline LiU2Si3Ir4 at its relaxed geometry, with properties calculated at the PBE-GGA level.

a = 4.0204 Å, b = 4.0204 Å, c = 10.3233 Å
α = 90.00°, β = 90.00°, γ = 90.00°
With the nearest neighbours (Å) after each atom.
Fractional coordinates of all 10 atoms:
Li 0.0000 0.0000 0.0000  4 Ir 2.51
U 0.0000 0.5000 0.7604  8 Ir 3.00-3.36, 6 Si 3.16-3.19, 2 Li 3.19
U 0.5000 0.0000 0.2396  8 Ir 3.00-3.36, 6 Si 3.16-3.19, 2 Li 3.19
Si 0.0000 0.5000 0.3730  5 Ir 2.35-2.40
Si 0.5000 0.0000 0.6270  5 Ir 2.35-2.40
Si 0.5000 0.5000 0.0000  4 Ir 2.51
Ir 0.0000 0.0000 0.5000  4 Si 2.40
Ir 0.0000 0.5000 0.1458  3 Si 2.35-2.51, 2 Li 2.51
Ir 0.5000 0.0000 0.8542  3 Si 2.35-2.51, 2 Li 2.51
Ir 0.5000 0.5000 0.5000  4 Si 2.40

Calculated values
The total moment is 3.6 μB per formula unit. The density of states at the Fermi level is 1.53 states/eV/atom. The uncorrected formation energy comes out at -6.95 eV/f.u. The uncorrected energy comes out at -8.316 eV/atom. The space group is No. 115.

---

Below is crystalline LiUSi2Ir2 at its relaxed geometry, with properties calculated at the PBE-GGA level.

a = 4.1860 Å, b = 4.1860 Å, c = 6.3413 Å
α = 90.00°, β = 90.00°, γ = 120.00°
With the nearest neighbours (Å) after each atom.
Fractional coordinates of all 6 atoms:
Li 0.0000 0.0000 0.0000  6 Si 2.66, 6 Ir 2.82
U 0.0000 0.0000 0.5000  6 Ir 2.96, 6 Si 3.17, 2 Li 3.17
Si 0.3333 0.6667 0.8236  4 Ir 2.44-2.58, 3 Li 2.66
Si 0.6667 0.3333 0.1764  4 Ir 2.44-2.58, 3 Li 2.66
Ir 0.3333 0.6667 0.2306  4 Si 2.44-2.58
Ir 0.6667 0.3333 0.7694  4 Si 2.44-2.58

Calculated values
The total moment is 1.7 μB per formula unit. The density of states at the Fermi level is 1.23 states/eV/atom. The uncorrected formation energy comes out at -3.82 eV/f.u. The uncorrected energy comes out at -7.599 eV/atom. The space group is No. 164.